NpTl3Au2Se6 | PBE | relaxed

abc: 7.8328 7.8328 8.6438
angles: 90.00 90.00 120.00
Each line ends with the local moment (μB).
Atoms (fractional coordinates):
Np (0.0000, 0.0000, 0.5000)  2.29
Tl (0.3333, 0.6667, 0.6676)  0.00
Tl (0.6667, 0.3333, 0.3324)  0.00
Tl (0.0000, 0.0000, 0.0000)  -0.02
Au (0.6667, 0.3333, 0.6798)  -0.11
Au (0.3333, 0.6667, 0.3202)  -0.11
Se (0.6988, 0.8494, 0.2946)  -0.15
Se (0.1506, 0.3012, 0.2946)  -0.15
Se (0.1506, 0.8494, 0.2946)  -0.15
Se (0.8494, 0.6988, 0.7054)  -0.15
Se (0.3012, 0.1506, 0.7054)  -0.15
Se (0.8494, 0.1506, 0.7054)  -0.15

## Properties
- Energy relative to the elements, uncorrected: -3.4 eV per formula unit
- Space group: No. 164
- ρ: 6.2 Mg/m³
- VASP energy: -4.24 eV/atom
- Crystal system: trigonal



TaFeCo2 | PBE | relaxed

abc: 4.4730 4.4730 3.7205
angles: 65.41 65.41 49.09
Each line ends with the local moment (μB).
Atoms (fractional coordinates):
Co (0.9999, 0.9999, 0.0000)  0.80
Co (0.5001, 0.5001, 0.5000)  0.80
Fe (0.2500, 0.2500, 0.2500)  2.09
Ta (0.7500, 0.7500, 0.7500)  -0.32

## Properties
- Relative energy among the computed polymorphs: 50 meV/atom
- Space group: No. 139
- Energy of formation: -0.492 eV per formula unit
- ρ: 11.8 Mg/m³
- VASP energy: -8.75 eV/atom
- Crystal system: tetragonal



PrZn6Rh4 | PBE | relaxed

abc: 6.6057 6.6057 6.6057
angles: 89.39 120.35 120.35
Atoms (fractional coordinates):
Pr (0.0000, 0.0000, 0.0000)
Zn (0.0000, 0.8883, 0.5101)
Zn (0.0000, 0.5101, 0.8883)
Zn (0.6217, 0.1117, 0.1117)
Zn (0.5000, 0.0000, 0.5000)
Zn (0.3783, 0.4899, 0.4899)
Zn (0.5000, 0.5000, 0.0000)
Rh (0.0000, 0.2494, 0.5923)
Rh (0.6571, 0.4077, 0.4077)
Rh (0.0000, 0.5923, 0.2494)
Rh (0.3429, 0.7506, 0.7506)

## Properties
- Space group: No. 121
- Energy of formation: -2.278 eV per formula unit
- ρ: 7.7 Mg/m³
- VASP energy: -4.01 eV/atom
- Crystal system: tetragonal



Mg2Cd3Hg8 | PBE | relaxed

abc: 6.0668 8.1209 7.7902
angles: 121.41 96.43 90.00
Atoms (fractional coordinates):
Mg (0.2974, 0.2070, 0.4140)
Mg (0.7026, 0.7930, 0.5860)
Cd (0.5000, 0.0000, 0.0000)
Cd (0.0000, 0.1818, 0.0000)
Cd (0.0000, 0.8182, 0.0000)
Hg (0.8666, 0.5950, 0.1900)
Hg (0.1334, 0.4050, 0.8100)
Hg (0.8216, 0.1994, 0.3988)
Hg (0.1784, 0.8006, 0.6012)
Hg (0.5768, 0.5649, 0.7496)
Hg (0.5768, 0.1847, 0.7496)
Hg (0.4232, 0.8153, 0.2504)
Hg (0.4232, 0.4351, 0.2504)

## Properties
- Relative energy among the computed polymorphs: 12 meV/atom
- Space group: No. 12
- Energy of formation: -0.283 eV per formula unit
- ρ: 10.2 Mg/m³
- VASP energy: -0.66 eV/atom
- Crystal system: monoclinic